No. 1
Here is a relaxed structure of ScRe2Ag from Alexandria. Energies are from PBE.

The structure in extended XYZ format:
```
4
Lattice="-0.485 2.177 -2.110 1.861 -1.473 -1.949 -5.743 -3.806 -2.607" Properties=species:S:1:pos:R:3 pbc="T T T"
Sc -2.771 -1.836 -1.258
Re -0.184 -0.122 -0.084
Re -0.589 -0.494 -2.609
Ag -3.695 -2.552 -4.019
```

Output
Polymorph energy (0 for the lowest one), meV/atom: 0
Crystal system: tetragonal
ΔH_f (0 K), kJ/mol of atoms: 3.9

No. 2
Here is a relaxed structure of LiCaLuIr from Alexandria. Energies are from PBE.

The structure in extended XYZ format:
```
4
Lattice="4.884 0.000 0.000 2.442 4.229 0.000 2.442 1.410 3.987" Properties=species:S:1:pos:R:3 pbc="T T T"
Li 2.442 1.410 0.997
Lu 4.884 2.820 1.994
Ca 0.000 0.000 0.000
Ir 7.325 4.229 2.991
```

Output
Crystal system: cubic
ΔH_f (0 K), kJ/mol of atoms: -39.9

No. 3
Here is a relaxed structure of Be2CuSe from Alexandria. Energies are from PBE.

The structure in extended XYZ format:
```
4
Lattice="4.029 -0.012 -0.089 2.591 3.086 -0.089 -0.721 -0.335 5.031" Properties=species:S:1:pos:R:3 pbc="T T T"
Be -0.335 -0.156 4.357
Be 4.265 1.981 4.163
Se 1.869 0.868 0.697
Cu 2.330 1.082 3.092
```

Output
Formation energy without anion corrections, kJ/mol of formula units: 46.7
Crystal system: monoclinic

No. 4
Here is a relaxed structure of Nb3IrW from Alexandria. Energies are from PBE.

The structure in extended XYZ format:
```
5
Lattice="4.769 0.000 0.000 0.000 4.769 0.000 0.000 0.000 4.769" Properties=species:S:1:pos:R:3 pbc="T T T"
Nb 0.000 2.384 0.000
Nb 0.000 0.000 2.384
Nb 2.384 0.000 0.000
Ir 2.384 2.384 2.384
W 0.000 0.000 0.000
```

Output
Polymorph energy (0 for the lowest one), meV/atom: 188
Crystal system: cubic
ΔH_f (0 K), kJ/mol of atoms: 153.5

No. 5
Here is a relaxed structure of DyTiInHg from Alexandria. Energies are from PBE.

The structure in extended XYZ format:
```
4
Lattice="5.061 0.000 0.000 2.531 4.383 0.000 2.531 1.461 4.133" Properties=species:S:1:pos:R:3 pbc="T T T"
Dy 7.592 4.383 3.100
In 0.000 0.000 0.000
Ti 2.531 1.461 1.033
Hg 5.061 2.922 2.066
```

Output
Crystal system: cubic
ΔH_f (0 K), kJ/mol of atoms: -17.6

No. 6
Here is a relaxed structure of YMoN3 from Alexandria. Energies are from PBE.

The structure in extended XYZ format:
```
10
Lattice="4.329 -0.001 0.015 -0.924 8.520 -0.021 0.107 -0.053 3.271" Properties=species:S:1:pos:R:3 pbc="T T T"
Y 1.480 1.828 1.890
Y -0.603 7.242 0.216
N 1.306 3.721 0.282
N 3.356 1.949 0.106
N 1.850 7.120 2.015
N -0.429 5.349 1.824
N 0.945 8.043 1.795
N -0.068 1.026 0.311
Mo 3.452 4.008 0.220
Mo 1.754 5.060 1.901
```

Output
Formation energy without anion corrections, kJ/mol of formula units: -296.6
Crystal system: triclinic

| no. | total energy (eV/atom) |
| --- | --- |
| 1 | -8.479 |
| 2 | -4.738 |
| 3 | -3.637 |
| 4 | -8.814 |
| 5 | -4.066 |
| 6 | -9.069 |